First-principles (GGA+U) data for a geometry-optimized Cs2AlMoF6 structure, as listed in the Alexandria database.

Cell: 6.525 6.525 6.603 Å, 60.39 60.39 90.00°
Last column: magnetic moment on the atom in μB.
Fractional positions:
Cs1 0.750 0.250 0.500  0.00
Cs2 0.250 0.750 0.500  0.00
Mo1 0.000 0.000 0.000  2.78
Al1 0.500 0.500 0.000  -0.01
F1 0.224 0.224 0.552  0.02
F2 0.776 0.776 0.448  0.02
F3 0.230 0.230 0.000  0.02
F4 0.770 0.770 0.000  0.02
F5 0.770 0.230 0.000  0.02
F6 0.230 0.770 0.000  0.02

**Size of the total moment**: 0.300 μB per atom
**SG**: I4/mmm, No. 139
**Energy**: -4.825 eV per atom